A plane-wave DFT calculation with PBE-GGA was carried out for a geometry-optimized Mg2AsSe structure.

Calculated values
- D(E_F) (states/eV/f.u.) = 1.44
- magnetization (Bohr magnetons per cell) = 0.00
- energy relative to the elements, uncorrected (eV/atom) = -0.48
- theoretical density (g cm⁻³) = 3.9

Geometry as CIF:
```
data_Mg2AsSe
_chemical_formula_sum 'Mg2 As1 Se1'
_space_group_name_H-M_alt 'P 1'
_space_group_IT_number 1
_space_group_name_Hall 'P 1'
_cell_length_a 3.5415
_cell_length_b 3.5415
_cell_length_c 7.3732
_cell_angle_alpha 90.00
_cell_angle_beta 90.00
_cell_angle_gamma 111.77
loop_
_atom_site_label
_atom_site_type_symbol
_atom_site_fract_x
_atom_site_fract_y
_atom_site_fract_z
Mg1 Mg 0.0000 0.0000 0.2443
Mg2 Mg 0.0000 0.0000 0.7557
As1 As 0.5000 0.5000 0.5000
Se1 Se 0.5000 0.5000 0.0000
```